# Dy3Y2Sc7 (GGA-PBE, relaxed)
data_Dy3Y2Sc7
_space_group_name_H-M_alt 'P 1 2/m 1'
_space_group_IT_number 10
_cell_length_a 3.515
_cell_length_b 5.279
_cell_length_c 19.002
_cell_angle_alpha 90.00
_cell_angle_beta 95.31
_cell_angle_gamma 90.00
loop_
_space_group_symop_operation_xyz
'x,y,z'
'-x,-y,-z'
'-x,y,-z'
'x,-y,z'
loop_
_atom_site_label
_atom_site_fract_x
_atom_site_fract_y
_atom_site_fract_z
Dy1 0.000 0.000 0.000
Dy2 0.326 0.500 0.652
Y1 0.137 0.000 0.273
Sc1 0.081 0.500 0.162
Sc2 0.217 0.000 0.433
Sc3 0.433 0.000 0.867
Sc4 0.500 0.500 0.000
# **DFT formation energy**: 3.21 eV/f.u.
# **VASP energy**: -5.654 eV/atom